[1]
10
Lattice="3.4685 0.0000 0.0000 -0.0491 8.7573 0.0000 -0.8320 -3.3440 9.8916" Properties=species:S:1:pos:R:3 comment="LaEr7Sc2 | the Alexandria database | PBE | optimized geometry" dos_ef_per_ev_cell=16.7 vol_a3_per_atom=30.05 ef_ev_per_atom=0.07 de_polymorph_ev_per_atom=0.000 pbc="T T T"
La 0.0000 0.0000 0.0000
Er -0.4160 -1.6720 4.9458
Er 0.0965 3.2651 1.2689
Er 0.7851 4.6283 6.9422
Er 1.0041 -0.8105 8.0408
Er 1.5833 6.2238 1.8508
Er 1.8024 0.7850 2.9494
Er 2.4910 2.1482 8.6227
Sc 0.4423 1.5481 5.7171
Sc 2.1452 3.8652 4.1745

[2]
4
Lattice="1.7950 1.0363 9.1567 -1.7950 1.0363 9.1567 0.0000 -2.0727 9.1567" Properties=species:S:1:pos:R:3 comment="MgTe2Mo | the Alexandria database | PBE | optimized geometry" dos_ef_per_ev_cell=4.5 vol_a3_per_atom=25.55 formation_energy_uncorrected_ev_per_atom=0.588 pbc="T T T"
Mg 0.0000 0.0000 0.0000
Te 0.0000 0.0000 11.1342
Te 0.0000 0.0000 16.3358
Mo 0.0000 0.0000 13.7350